# 1
DFT (PBEsol) results for an optimized crystal structure of ScSbMo3.

Geometry as extended XYZ:
```
5
Lattice="4.842 0.000 0.000 0.000 4.842 0.000 0.000 0.000 4.842" Properties=species:S:1:pos:R:3 pbc="T T T"
Sb 0.000 0.000 0.000
Sc 2.421 2.421 2.421
Mo 0.000 0.000 2.421
Mo 0.000 2.421 0.000
Mo 2.421 0.000 0.000
```

Volume (Å³ per cell): 114
Formation energy (no corrections) (eV/atom): 1.655
Total moment (Bohr magnetons per cell): 0.0
E_tot (eV for the cell shown): -38.19
Crystal system: cubic
Fermi-level density of states (states/eV/f.u.): 6.08

# 2
DFT (PBEsol) results for an optimized crystal structure of Co2HgOs.

Geometry as extended XYZ:
```
4
Lattice="2.717 0.000 0.000 1.358 2.353 0.000 1.358 0.784 8.668" Properties=species:S:1:pos:R:3 pbc="T T T"
Os 1.358 0.784 1.884
Hg 2.717 1.569 4.438
Co 4.075 2.353 6.757
Co 1.358 0.784 8.590
```

Energy of formation from the pure elements (meV per atom): 497
Volume (Å³ per cell): 55
Total moment (Bohr magnetons per cell): 3.1
E_tot (eV for the cell shown): -26.27
Crystal system: trigonal
Fermi-level density of states (states/eV/f.u.): 4.63

# 3
DFT (PBEsol) results for an optimized crystal structure of CrMoBr2.

Geometry as extended XYZ:
```
4
Lattice="3.045 0.000 0.000 0.000 3.045 0.000 0.000 0.000 8.230" Properties=species:S:1:pos:R:3 pbc="T T T"
Mo 1.522 1.522 6.011
Br 0.000 0.000 7.625
Br 1.522 1.522 2.634
Cr 0.000 0.000 4.303
```

ΔE to the lowest computed polymorph (eV per atom): 0.000
Volume (Å³ per cell): 76
Formation energy (no corrections) (eV/atom): 0.260
Total moment (Bohr magnetons per cell): 2.4
E_tot (eV for the cell shown): -24.71
Crystal system: tetragonal
Fermi-level density of states (states/eV/f.u.): 3.47

# 4
DFT (PBEsol) results for an optimized crystal structure of VCo3.

Geometry as extended XYZ:
```
4
Lattice="3.461 0.000 0.000 0.000 3.461 0.000 0.000 0.000 3.461" Properties=species:S:1:pos:R:3 pbc="T T T"
Co 1.731 0.000 1.731
Co 0.000 1.731 1.731
Co 1.731 1.731 0.000
V 0.000 0.000 0.000
```

Energy of formation from the pure elements (meV per atom): -218
Volume (Å³ per cell): 41
Total moment (Bohr magnetons per cell): 0.0
E_tot (eV for the cell shown): -33.72
Crystal system: cubic
Fermi-level density of states (states/eV/f.u.): 3.38

Question: What is the E_tot in the fourth record?
Answer: -33.72 eV for the cell shown

Question: The highest volume belongs to which entry?
Answer: ScSbMo3